# 1
## Cs12Hg3F5 (GGA-PBE)

Data for an optimized crystal structure of Cs12Hg3F5.

Cell and atoms, written as POSCAR:
```
Cs12Hg3F5
1.0
-6.0489 -5.9625 -15.1208
14.2394 -8.8558 4.4263
-12.0998 -2.0055 12.2618
Hg F Cs
12 20 48
Cartesian
-0.7094 -8.0435 -8.1480
3.8743 -12.1097 -8.3782
0.8489 -10.1312 5.3130
-4.2697 -3.3497 1.3713
-6.5378 -6.8255 -9.6119
3.6064 -8.2722 0.1616
-7.5156 -8.5516 1.4057
2.6286 -9.9982 11.1792
0.3605 -13.4741 0.1960
-4.7581 -6.6926 -3.7457
-7.7836 -4.7141 9.9455
-3.1999 -8.7803 9.7153
1.5587 -4.5676 2.8352
7.1197 -4.4279 2.2131
0.0000 0.0000 0.0000
-0.2209 -4.7006 -3.0310
-9.0743 -3.9840 -1.4295
4.0953 -7.4091 -5.3472
5.3860 -8.1392 6.0278
-13.3441 -7.3337 -0.0582
-0.1744 -10.7588 -3.9760
-9.5632 -4.8470 4.0793
5.6540 -11.9767 -2.5120
-1.9546 -8.4119 0.7836
-3.0244 -2.9812 -7.5604
-6.0499 -1.0028 6.1309
-3.7348 -6.0650 5.5433
9.4348 -9.4901 1.6255
1.0698 -5.4306 8.3440
-9.2953 -8.6846 -4.4605
-3.6883 -12.1232 4.5983
-5.4680 -12.2562 -1.2679
-2.6870 -5.1480 -9.8519
0.5412 -7.1945 2.3162
-4.2095 -9.9503 -9.4944
-1.7134 -4.9652 -5.4617
-1.9094 -10.9516 2.6830
0.3933 -11.6226 -10.0647
4.4909 -9.8887 3.9437
11.1164 -9.0030 3.8928
2.1913 -13.7446 3.6273
1.8441 -9.6214 -5.6604
-2.5787 -9.9384 -5.2996
7.7052 -12.8255 -8.2751
3.0098 -7.8259 7.5965
2.3440 -5.9722 -3.1273
7.6011 -9.1820 7.5148
-8.2425 -4.7238 1.5404
-0.1982 -2.4764 1.9717
5.4984 -9.1825 -3.1232
4.4477 -13.6453 -4.5035
4.0526 -4.6117 1.4266
1.9935 -12.7004 8.4418
-0.0159 -9.8756 -1.2556
0.0527 -13.5998 -3.6883
-11.5156 -9.4716 0.4817
-3.8934 -6.9482 2.8229
-3.9619 -3.2240 5.2556
7.6064 -7.3522 1.0856
-8.3569 -3.1785 6.0708
-5.9028 -4.1234 -6.8745
-7.9618 -12.2121 0.1407
-9.4076 -7.6413 4.6905
4.3333 -12.1000 0.0269
-3.7110 -14.3473 -0.4044
-11.5104 -7.6418 -5.9475
-6.9191 -8.9979 -6.0292
-11.6144 -3.9982 9.8424
-6.2533 -10.8516 4.6946
-6.1005 -3.0792 -2.0600
-5.7534 -7.2024 7.2277
-1.3305 -6.8853 6.8669
-15.0256 -7.8208 -2.3255
-8.4002 -6.9350 -2.3764
-2.1959 -11.8586 7.0290
-4.3026 -5.2011 11.6320
-1.9998 -5.8721 -1.1157
0.3003 -6.8735 11.0617
-4.4505 -9.6293 -0.7489
-1.2222 -11.6758 11.4192
```

As for the total energy: -2.34 eV/atom. The value obtained for the total magnetization is 4.9 μB per cell. The calculation puts the formation energy from raw total energies at -1.320 eV per atom.


# 2
## Cs2UTiSe5 (GGA-PBE)

Data for an optimized crystal structure of Cs2UTiSe5.

Cell and atoms, written as POSCAR:
```
Cs2UTiSe5
1.0
-3.4928 -2.0743 1.5395
7.6732 -6.9422 1.9257
2.2730 6.2962 13.6409
Cs U Ti Se
4 2 2 10
Cartesian
4.5446 -1.7486 14.0845
3.0923 2.2461 10.0424
2.2688 0.0255 5.1820
3.0657 -5.7847 5.2907
3.0411 -2.5760 9.5584
2.3868 -2.9849 1.3932
1.1834 3.7346 13.8466
6.0955 -4.1684 8.2130
3.8435 -5.1140 1.8294
2.4787 1.6435 13.9679
0.2283 3.7961 11.7625
5.1303 -0.9123 10.4105
4.7144 -4.9502 10.1557
1.5028 -0.6730 8.6325
4.6315 -2.5446 7.0794
6.4557 -5.8778 6.7271
0.8263 -3.1843 3.7135
0.6545 -0.7742 0.4418
```

As for the total energy: -5.44 eV/atom. The value obtained for the total magnetization is 4.0 μB per cell. The calculation puts the formation energy from raw total energies at -1.186 eV per atom.


# 3
## Dy12Er3Tm (GGA-PBE)

Data for an optimized crystal structure of Dy12Er3Tm.

Cell and atoms, written as POSCAR:
```
Dy12Er3Tm
1.0
-0.4366 2.1593 4.4713
-0.2660 -4.4923 2.1434
19.8215 -0.2032 2.0337
Dy Er Tm
12 3 1
Cartesian
-0.3513 -1.1665 3.3074
4.5998 -1.2173 3.8153
9.5595 -1.2681 4.3242
14.5191 -1.3190 4.8331
2.2546 1.0543 2.4894
7.2128 1.0035 2.9981
12.1722 0.9526 3.5069
17.1303 0.9018 4.0156
2.3399 -2.2715 1.3254
7.2981 -2.3223 1.8341
12.2575 -2.3732 2.3430
17.2156 -2.4240 2.8517
4.9512 -0.0508 0.5080
9.9108 -0.1016 1.0168
14.8704 -0.1525 1.5257
0.0000 0.0000 0.0000
```

As for the total energy: -4.57 eV/atom. The value obtained for the total magnetization is 0.0 μB per cell. As for the energy relative to the elements: 1.88 kJ/mol of atoms.


# 4
## Li2HoTeSe4 (GGA-PBE)

Data for an optimized crystal structure of Li2HoTeSe4.

Cell and atoms, written as POSCAR:
```
Li2HoTeSe4
1.0
7.9795 0.0312 0.1338
0.0256 7.9795 0.1338
-3.8426 -3.8453 5.9526
Li Ho Te Se
4 2 2 8
Cartesian
3.9898 0.0156 0.0669
2.0685 -1.9070 3.0432
-1.9213 -1.9226 2.9763
4.0025 4.0053 0.1338
0.0128 3.9898 0.0669
6.0710 2.0983 3.1769
2.0812 2.0827 3.1101
4.1369 -3.8141 6.0864
-1.8156 2.1684 5.9381
4.0484 0.0827 3.2584
0.1140 4.0826 2.9618
5.9782 1.9970 0.2821
6.0316 6.0901 0.4620
4.0004 4.0576 2.9157
0.1620 0.1079 3.3045
-1.8691 -1.9247 5.7582
```

As for the total energy: -4.19 eV/atom. The value obtained for the total magnetization is 0.0 μB per cell. The calculation puts the formation energy from raw total energies at -1.003 eV per atom.


# 5
## BiTe (GGA-PBE)

Data for an optimized crystal structure of BiTe.

Cell and atoms, written as POSCAR:
```
BiTe
1.0
4.3324 0.0000 0.0000
0.0000 4.3324 0.0000
0.0000 0.0000 15.7834
Te Bi
4 4
Cartesian
0.0000 0.0000 13.4847
0.0000 0.0000 2.2986
2.1662 2.1662 5.5931
2.1662 2.1662 10.1903
0.0000 0.0000 9.4644
0.0000 0.0000 6.3190
2.1662 2.1662 1.5727
2.1662 2.1662 14.2107
```

As for the total energy: -3.62 eV/atom. The value obtained for the total magnetization is 0.0 μB per cell. The calculation puts the distance to the lowest polymorph of the same formula at 0.096 eV per atom. The calculation puts the formation energy from raw total energies at -0.105 eV per atom.


# 6
## RbLi3Se2 (GGA-PBE)

Data for an optimized crystal structure of RbLi3Se2.

Cell and atoms, written as POSCAR:
```
RbLi3Se2
1.0
4.3800 0.0000 0.0000
-2.1900 7.7692 -3.2657
0.0000 -0.3091 8.5816
Rb Li Se
2 6 4
Cartesian
2.1900 5.4248 5.8177
0.0000 2.0353 -0.5018
0.0000 4.6619 2.6096
2.1900 6.6162 2.3405
2.1900 1.3178 4.7991
0.0000 6.1423 0.5168
0.0000 0.8439 2.9754
2.1900 2.7982 2.7063
0.0000 7.1934 3.1888
2.1900 0.2667 2.1271
2.1900 4.5925 0.8953
0.0000 2.8675 4.4206
```

As for the total energy: -3.47 eV/atom. The value obtained for the total magnetization is 0.0 μB per cell. The calculation puts the formation energy from raw total energies at -1.191 eV per atom.